No. 1
## TeOsW2 (PBE)

Data for crystalline TeOsW2 at its relaxed geometry.

abc: 2.8687 2.8687 9.4187
angles: 90.00 90.00 112.06
Last column: nearest neighbours and their distance in Å.
Atoms (fractional coordinates):
Os  0.0000  0.0000  0.4704  2 W 2.60, 4 Os 2.87
Te  0.5000  0.5000  0.7502  6 Te 2.87-3.21, 2 W 3.05, 2 Os 3.08
W  0.0000  0.0000  0.0260  6 W 2.67-2.87
W  0.5000  0.5000  0.2533  2 Os 2.60, 6 W 2.67-2.87

Summary:
Volume   18.0 A^3/atom
Raw formation energy   0.777 eV per atom
Total energy   -9.293 eV per atom
D(E_F)   0.888 states/eV/atom

No. 2
## TeOsW3 (PBE)

Data for crystalline TeOsW3 at its relaxed geometry.

abc: 4.8068 4.8068 4.8068
angles: 90.00 90.00 90.00
Last column: nearest neighbours and their distance in Å.
Atoms (fractional coordinates):
W  0.0000  0.5000  0.0000  2 Os 2.40
W  0.5000  0.0000  0.0000  2 Os 2.40
W  0.0000  0.0000  0.5000  2 Os 2.40
Os  0.0000  0.0000  0.0000  6 W 2.40
Te  0.5000  0.5000  0.5000  12 W 3.40

Summary:
Volume   22.2 A^3/atom
Raw formation energy   1.907 eV per atom
Offset from the most stable computed form   0 meV/atom
Total energy   -8.739 eV per atom
D(E_F)   1.343 states/eV/atom

No. 3
## Te2OsW (PBE)

Data for crystalline Te2OsW at its relaxed geometry.

abc: 4.8097 4.8097 4.8097
angles: 60.00 60.00 60.00
Last column: nearest neighbours and their distance in Å.
Atoms (fractional coordinates):
Te  0.2500  0.2500  0.2500  4 Os 2.95, 4 Te 2.95
Te  0.0000  0.0000  0.0000  4 W 2.95, 4 Te 2.95
Os  0.5000  0.5000  0.5000  4 W 2.95, 4 Te 2.95
W  0.7500  0.7500  0.7500  4 Te 2.95, 4 Os 2.95

Summary:
Volume   19.7 A^3/atom
Raw formation energy   1.277 eV per atom
Offset from the most stable computed form   907 meV/atom
Total energy   -6.340 eV per atom
D(E_F)   1.306 states/eV/atom

No. 4
## TeOsW2 (PBE)

Data for crystalline TeOsW2 at its relaxed geometry.

abc: 4.5875 4.5875 4.5875
angles: 60.00 60.00 60.00
Last column: nearest neighbours and their distance in Å.
Atoms (fractional coordinates):
Os  0.5000  0.5000  0.5000  4 W 2.81, 4 Te 2.81
W  0.0000  0.0000  0.0000  4 W 2.81, 4 Te 2.81
W  0.7500  0.7500  0.7500  4 Os 2.81, 4 W 2.81
Te  0.2500  0.2500  0.2500  4 W 2.81, 4 Os 2.81

Summary:
Volume   17.1 A^3/atom
Raw formation energy   0.814 eV per atom
Total energy   -9.256 eV per atom
D(E_F)   1.124 states/eV/atom

No. 5
## TeOsW (PBE)

Data for crystalline TeOsW at its relaxed geometry.

abc: 4.4036 4.4036 4.4036
angles: 60.00 60.00 60.00
Last column: nearest neighbours and their distance in Å.
Atoms (fractional coordinates):
Te  0.5000  0.5000  0.5000  4 W 2.70
Os  0.0000  0.0000  0.0000  4 W 2.70
W  0.7500  0.7500  0.7500  4 Os 2.70, 4 Te 2.70

Summary:
Volume   20.1 A^3/atom
Raw formation energy   0.754 eV per atom
Offset from the most stable computed form   222 meV/atom
Total energy   -8.355 eV per atom
D(E_F)   0.598 states/eV/atom

No. 6
## TeOsW2 (PBE)

Data for crystalline TeOsW2 at its relaxed geometry.

abc: 5.0504 5.0504 4.6972
angles: 82.49 82.49 35.45
Last column: nearest neighbours and their distance in Å.
Atoms (fractional coordinates):
W  0.0119  0.0119  0.9704  2 W 2.61, 1 Te 2.79, 3 Os 2.83-2.85
W  0.4881  0.4881  0.5296  2 W 2.61, 1 Te 2.79, 3 Os 2.83-2.85
Te  0.2500  0.2500  0.2500  6 W 2.79-3.09, 4 Os 2.81, 2 Te 3.08
Os  0.7500  0.7500  0.7500  4 Te 2.81, 6 W 2.83-2.85, 2 Os 3.08

Summary:
Volume   17.2 A^3/atom
Raw formation energy   0.611 eV per atom
Total energy   -9.458 eV per atom
D(E_F)   0.610 states/eV/atom

Among the records above, which one has the lowest volume? number 4